No. 1
VASP calculation (PBE) on a geometry-optimized Cr2FeHPt structure.

DOS(E_F) in states/eV per cell: 5.01
Crystal system: tetragonal
Total energy in eV per atom: -7.48

Unit cell a=3.7025 b=3.7025 c=3.7037 alpha=90.00 beta=90.00 gamma=90.00
Last column: nearest neighbours and their distance in Å.
Atoms (fractional coordinates):
Cr  0.0000  0.5000  0.0000  2 H 1.85
Cr  0.5000  0.0000  0.0000  2 H 1.85
Fe  0.0000  0.0000  0.5000  2 H 1.85
H  0.0000  0.0000  0.0000  4 Cr 1.85, 2 Fe 1.85
Pt  0.5000  0.5000  0.5000  4 Fe 2.62, 8 Cr 2.62

---

No. 2
VASP calculation (PBE) on a geometry-optimized ZrNiPtBr2 structure.

DOS(E_F) in states/eV per cell: 3.05
Crystal system: tetragonal
Total energy in eV per atom: -4.34

Unit cell a=4.5433 b=4.5433 c=5.2456 alpha=90.00 beta=90.00 gamma=90.00
Last column: nearest neighbours and their distance in Å.
Atoms (fractional coordinates):
Zr  0.0000  0.0000  0.0000  2 Ni 2.62
Ni  0.0000  0.0000  0.5000  4 Br 2.27
Pt  0.5000  0.5000  0.0000  4 Zr 3.21, 8 Br 3.47
Br  0.0000  0.5000  0.5000  2 Ni 2.27
Br  0.5000  0.0000  0.5000  2 Ni 2.27

---

No. 3
VASP calculation (PBE) on a geometry-optimized ZrOs2Pt structure.

DOS(E_F) in states/eV per cell: 3.33
Energy relative to the elements in meV/atom: -9.6
Crystal system: monoclinic

Unit cell a=2.8406 b=4.7682 c=4.8869 alpha=90.00 beta=92.87 gamma=90.00
Last column: nearest neighbours and their distance in Å.
Atoms (fractional coordinates):
Zr  0.0000  0.0000  0.0000  4 Pt 2.76-2.89, 2 Zr 2.84, 4 Os 2.87
Os  0.3345  0.5000  0.7486  4 Os 2.59-2.84, 2 Pt 2.73, 2 Zr 2.87
Os  0.6655  0.5000  0.2514  4 Os 2.59-2.84, 2 Pt 2.73, 2 Zr 2.87
Pt  0.5000  0.0000  0.5000  4 Os 2.73, 4 Zr 2.76-2.89, 2 Pt 2.84

---

No. 4
VASP calculation (PBE) on a geometry-optimized ZrBW structure.

DOS(E_F) in states/eV per cell: 2.59
Energy relative to the elements in meV/atom: -287.2
Crystal system: monoclinic

Unit cell a=4.8237 b=4.8237 c=5.7968 alpha=126.87 beta=126.87 gamma=62.92
Last column: nearest neighbours and their distance in Å.
Atoms (fractional coordinates):
Zr  0.0000  0.0000  0.0000  4 B 2.48-2.64
Zr  0.1712  0.1712  0.6543  4 B 2.50-2.57, 1 W 2.77
B  0.1695  0.5437  0.1923  1 B 1.88
B  0.5437  0.1695  0.1923  1 B 1.88
W  0.5326  0.5326  0.7059  4 B 2.40-2.64
W  0.6814  0.6814  0.3207  4 B 2.41-2.57

---

No. 5
VASP calculation (PBE) on a geometry-optimized BC5 structure.

DOS(E_F) in states/eV per cell: 1.41
Energy relative to the elements in meV/atom: 270.9
Crystal system: monoclinic

Unit cell a=4.4301 b=2.5724 c=6.3745 alpha=90.00 beta=90.51 gamma=90.00
Last column: nearest neighbours and their distance in Å.
Atoms (fractional coordinates):
B  0.2057  0.0000  0.0526  3 C 1.57-1.58
B  0.7943  0.0000  0.9474  3 C 1.57-1.58
C  0.9996  0.5000  0.3779  4 C 1.56-1.57
C  0.0004  0.5000  0.6221  4 C 1.56-1.57
C  0.1632  0.0000  0.2986  3 C 1.56-1.57, 1 B 1.58
C  0.3331  0.5000  0.9450  2 C 1.54-1.63, 2 B 1.57
C  0.3362  0.5000  0.7040  4 C 1.54-1.57
C  0.4997  0.0000  0.3788  4 C 1.54-1.57
C  0.5003  0.0000  0.6212  4 C 1.54-1.57
C  0.6638  0.5000  0.2960  4 C 1.54-1.57
C  0.6669  0.5000  0.0550  2 C 1.54-1.63, 2 B 1.57
C  0.8368  0.0000  0.7014  3 C 1.56-1.57, 1 B 1.58

---

No. 6
VASP calculation (PBE) on a geometry-optimized VSn3Te structure.

DOS(E_F) in states/eV per cell: 11.69
Crystal system: cubic
Total energy in eV per atom: -3.67

Unit cell a=5.7656 b=5.7656 c=5.7656 alpha=90.00 beta=90.00 gamma=90.00
Last column: nearest neighbours and their distance in Å.
Atoms (fractional coordinates):
V  0.0000  0.0000  0.0000  12 Sn 4.08
Sn  0.0000  0.5000  0.5000  2 Te 2.88
Sn  0.5000  0.0000  0.5000  2 Te 2.88
Sn  0.5000  0.5000  0.0000  2 Te 2.88
Te  0.5000  0.5000  0.5000  6 Sn 2.88

---

No. 7
VASP calculation (PBE) on a geometry-optimized LaMg2TlRh structure.

DOS(E_F) in states/eV per cell: 4.99
Energy relative to the elements in meV/atom: -312.4
Crystal system: tetragonal

Unit cell a=5.1212 b=5.1212 c=5.3347 alpha=90.00 beta=90.00 gamma=90.00
Last column: nearest neighbours and their distance in Å.
Atoms (fractional coordinates):
La  0.0000  0.0000  0.0000  2 Rh 2.67
Mg  0.0000  0.5000  0.5000  2 Rh 2.56
Mg  0.5000  0.0000  0.5000  2 Rh 2.56
Tl  0.5000  0.5000  0.0000  4 La 3.62, 8 Mg 3.70
Rh  0.0000  0.0000  0.5000  4 Mg 2.56, 2 La 2.67

---

No. 8
VASP calculation (PBE) on a geometry-optimized SrTaCr2Pt structure.

DOS(E_F) in states/eV per cell: 4.74
Energy relative to the elements in meV/atom: 781.1
Crystal system: tetragonal

Unit cell a=5.1144 b=5.1144 c=4.9267 alpha=90.00 beta=90.00 gamma=90.00
Last column: nearest neighbours and their distance in Å.
Atoms (fractional coordinates):
Sr  0.0000  0.0000  0.0000  8 Cr 3.55, 4 Ta 3.62
Ta  0.5000  0.5000  0.0000  2 Pt 2.46
Cr  0.0000  0.5000  0.5000  2 Pt 2.56
Cr  0.5000  0.0000  0.5000  2 Pt 2.56
Pt  0.5000  0.5000  0.5000  2 Ta 2.46, 4 Cr 2.56

---

No. 9
VASP calculation (PBE) on a geometry-optimized Dy5Zn2Au2 structure.

DOS(E_F) in states/eV per cell: 19.61
Energy relative to the elements in meV/atom: -506.8
Crystal system: orthorhombic

Unit cell a=8.9760 b=8.9760 c=7.4688 alpha=90.00 beta=90.00 gamma=48.32
Last column: nearest neighbours and their distance in Å.
Atoms (fractional coordinates):
Dy  0.0000  0.0000  0.0000  4 Zn 2.95-2.96
Dy  0.0341  0.6821  0.6734  3 Au 2.93-3.03, 3 Zn 3.17-3.23
Dy  0.1821  0.5341  0.1734  3 Au 2.93-3.03, 3 Zn 3.17-3.23
Dy  0.3179  0.9659  0.6734  3 Au 2.93-3.03, 3 Zn 3.17-3.23
Dy  0.4659  0.8179  0.1734  3 Au 2.93-3.03, 3 Zn 3.17-3.23
Dy  0.5000  0.5000  0.5000  4 Zn 2.95-2.96
Dy  0.5341  0.1821  0.8266  3 Au 2.93-3.03, 3 Zn 3.17-3.23
Dy  0.6821  0.0341  0.3266  3 Au 2.93-3.03, 3 Zn 3.17-3.23
Dy  0.8179  0.4659  0.8266  3 Au 2.93-3.03, 3 Zn 3.17-3.23
Dy  0.9659  0.3179  0.3266  3 Au 2.93-3.03, 3 Zn 3.17-3.23
Zn  0.1172  0.8828  0.3783  1 Zn 2.50
Zn  0.3828  0.6172  0.8783  1 Zn 2.50
Zn  0.6172  0.3828  0.1217  1 Zn 2.50
Zn  0.8828  0.1172  0.6217  1 Zn 2.50
Au  0.2107  0.2107  0.0000  6 Dy 2.93-3.03
Au  0.2893  0.2893  0.5000  6 Dy 2.93-3.03
Au  0.7107  0.7107  0.5000  6 Dy 2.93-3.03
Au  0.7893  0.7893  0.0000  6 Dy 2.93-3.03

---

No. 10
VASP calculation (PBE) on a geometry-optimized LiTeMoBr2 structure.

DOS(E_F) in states/eV per cell: 5.55
Crystal system: tetragonal
Total energy in eV per atom: -3.47

Unit cell a=4.8586 b=4.8586 c=6.9062 alpha=90.00 beta=90.00 gamma=90.00
Last column: nearest neighbours and their distance in Å.
Atoms (fractional coordinates):
Li  0.0000  0.0000  0.0000  4 Te 3.44, 2 Mo 3.45
Te  0.5000  0.5000  0.0000  4 Li 3.44
Mo  0.0000  0.0000  0.5000  4 Br 2.43
Br  0.0000  0.5000  0.5000  2 Mo 2.43
Br  0.5000  0.0000  0.5000  2 Mo 2.43